[1]
DFT (PBE-GGA) results for crystalline CoAgSb2H at its relaxed geometry.

POSCAR file:
```
CoAgSb2H
1.0
5.212 0.000 0.000
0.000 5.212 0.000
0.000 0.000 3.185
Co Ag Sb H
1 1 2 1
direct
0.000 0.000 0.000
0.500 0.500 0.500
0.000 0.500 0.000
0.500 0.000 0.000
0.000 0.000 0.500
```

Properties
- Space-group type: P4/mmm, No. 123


[2]
DFT (PBE-GGA) results for crystalline HoMnSi3Ni at its relaxed geometry.

POSCAR file:
```
HoMnSi3Ni
1.0
2.976 -6.370 0.000
2.976 6.370 0.000
0.000 0.000 5.477
Ho Mn Si Ni
2 2 6 2
direct
0.210 0.790 0.750
0.790 0.210 0.250
0.455 0.545 0.250
0.545 0.455 0.750
0.202 0.202 0.000
0.202 0.202 0.500
0.284 0.716 0.250
0.716 0.284 0.750
0.798 0.798 0.000
0.798 0.798 0.500
0.115 0.885 0.250
0.885 0.115 0.750
```

Properties
- Space-group type: Cmcm, No. 63


| no. | uncorrected energy (eV per atom) | N(E_F) (states/eV/f.u.) | total magnetization (μB/f.u.) |
| --- | --- | --- | --- |
| 1 | -4.13 | 2.76 | 0.000 |
| 2 | -6.27 | 3.06 | 1.088 |